This record from Alexandria via LeMat-Bulk describes a relaxed Be2TeW crystal. The functional is PBE.

Values from the calculation:
Fermi-level density of states: 1.84 states/eV per cell
Formation energy without anion corrections: 0.42 eV per atom

Cell lengths 3.3276, 3.2999, 6.2152 Å; angles 57.93, 90.00, 90.00 degrees
Atoms (fractional coordinates):
Be: 0.0000 0.0526 0.9474
Be: 0.0000 0.4474 0.5526
Te: 0.5000 0.2500 0.2500
W: 0.5000 0.7500 0.7500

---

This record from Alexandria via LeMat-Bulk describes a relaxed Be2TeW crystal. The functional is PBE.

Values from the calculation:
Fermi-level density of states: 1.47 states/eV per cell
Formation energy without anion corrections: 0.56 eV per atom

Cell lengths 4.8010, 4.8010, 4.8010 Å; angles 139.57, 127.12, 68.61 degrees
Atoms (fractional coordinates):
Be: 0.9728 0.9728 0.0000
Be: 0.7787 0.2787 0.5000
Te: 0.5097 0.5097 0.0000
W: 0.2389 0.7389 0.5000

---

This record from Alexandria via LeMat-Bulk describes a relaxed Be3TeW crystal. The functional is PBE.

Values from the calculation:
Fermi-level density of states: 3.13 states/eV per cell
Formation energy without anion corrections: 1.36 eV per atom

Cell lengths 4.4206, 4.4206, 4.4206 Å; angles 90.00, 90.00, 90.00 degrees
Atoms (fractional coordinates):
Be: 0.0000 0.5000 0.0000
Be: 0.0000 0.0000 0.5000
Be: 0.5000 0.0000 0.0000
Te: 0.5000 0.5000 0.5000
W: 0.0000 0.0000 0.0000

---

This record from Alexandria via LeMat-Bulk describes a relaxed Be2TeW crystal. The functional is PBE.

Values from the calculation:
Fermi-level density of states: 7.02 states/eV per cell
Formation energy without anion corrections: 0.98 eV per atom

Cell lengths 6.6683, 6.6683, 5.4705 Å; angles 52.45, 52.45, 90.00 degrees
Atoms (fractional coordinates):
Be: 0.6228 0.1250 0.2500
Be: 0.1272 0.6250 0.2500
Be: 0.3750 0.3772 0.7500
Be: 0.8750 0.8728 0.7500
Te: 0.5000 0.5000 0.0000
Te: 0.2500 0.7500 0.5000
W: 0.0000 0.0000 0.0000
W: 0.7500 0.2500 0.5000

---

This record from Alexandria via LeMat-Bulk describes a relaxed Be3TeW crystal. The functional is PBE.

Values from the calculation:
Fermi-level density of states: 2.92 states/eV per cell
Formation energy without anion corrections: 2.02 eV per atom

Cell lengths 4.4938, 4.4938, 4.4938 Å; angles 90.00, 90.00, 90.00 degrees
Site moments in Bohr magnetons follow the coordinates.
Atoms (fractional coordinates):
Be: 0.0000 0.5000 0.0000  -0.06
Be: 0.0000 0.0000 0.5000  -0.08
Be: 0.5000 0.0000 0.0000  -0.05
Te: 0.0000 0.0000 0.0000  0.04
W: 0.5000 0.5000 0.5000  1.99

---

This record from Alexandria via LeMat-Bulk describes a relaxed BeTe2W crystal. The functional is PBE.

Values from the calculation:
Fermi-level density of states: 1.22 states/eV per cell
Formation energy without anion corrections: 0.66 eV per atom

Cell lengths 4.5667, 4.5667, 5.6321 Å; angles 88.61, 88.61, 45.44 degrees
Atoms (fractional coordinates):
Be: 0.2500 0.2500 0.2500
Te: 0.0438 0.0438 0.9837
Te: 0.4562 0.4562 0.5163
W: 0.7500 0.7500 0.7500